(1)
# Li3Ag2F6

Li3Ag2F6 after structural relaxation (PBE, Alexandria). Values from VASP.

Calculated values
Its space group is No. 166. For the energy relative to the elements, uncorrected, the calculation gives -1.96 eV/atom.

Cell and atoms, written as Quantum ESPRESSO input:
```
&SYSTEM
  ibrav = 0, nat = 11, ntyp = 3
/
ATOMIC_SPECIES
Li 6.94 Li.upf
Ag 107.87 Ag.upf
F 19.00 F.upf
CELL_PARAMETERS angstrom
1.570 0.906 15.135
-1.570 0.906 15.135
0.000 -1.813 15.135
ATOMIC_POSITIONS crystal
Li 0.000 0.000 0.000
Li 0.283 0.283 0.283
Li 0.717 0.717 0.717
Ag 0.446 0.446 0.446
Ag 0.554 0.554 0.554
F 0.074 0.074 0.074
F 0.192 0.192 0.192
F 0.358 0.358 0.358
F 0.642 0.642 0.642
F 0.808 0.808 0.808
F 0.926 0.926 0.926
```

(2)
# TbEuAg2

TbEuAg2 after structural relaxation (PBE, Alexandria). Values from VASP.

Calculated values
Its space group is No. 123. The total energy is -5.451 eV per atom.

Cell and atoms, written as Quantum ESPRESSO input:
```
&SYSTEM
  ibrav = 0, nat = 4, ntyp = 3
/
ATOMIC_SPECIES
Tb 158.93 Tb.upf
Eu 151.96 Eu.upf
Ag 107.87 Ag.upf
CELL_PARAMETERS angstrom
3.726 0.000 0.000
0.000 3.726 0.000
0.000 0.000 7.508
ATOMIC_POSITIONS crystal
Tb 0.000 0.000 0.000
Eu 0.000 0.000 0.500
Ag 0.500 0.500 0.220
Ag 0.500 0.500 0.780
```